A plane-wave DFT calculation with PBE with a Hubbard U was carried out for crystalline HoIn2FeO6 at its relaxed geometry.

```
HoIn2FeO6
1.0
-4.3434 -3.1615 -1.2288
-2.5034 -2.9025 3.9595
-5.2819 1.7594 1.7854
O Ho In Fe
6 1 2 1
direct
0.6996 0.1290 0.7633
0.2167 0.9412 0.2463
0.4081 0.6996 0.7633
0.9412 0.5958 0.2463
0.1290 0.4081 0.7633
0.5958 0.2167 0.2463
0.8070 0.8070 0.5790
0.5269 0.5269 0.4192
0.0215 0.0216 0.9353
0.3157 0.3157 0.0529
```

Computed properties:
- Fermi-level density of states (states/eV per cell) = 0.00
- M_tot (μB per formula unit) = 5.0
- calculated total energy (eV/atom) = -6.547
- symmetry = No. 146